# GGA-PBE Ho2Cu4S5, optimized geometry
data_Ho2Cu4S5
_cell_length_a 16.0689
_cell_length_b 16.0689
_cell_length_c 16.0689
_cell_angle_alpha 13.65
_cell_angle_beta 13.65
_cell_angle_gamma 13.65
_space_group_name_H-M_alt 'P 1'
_space_group_IT_number 1
_space_group_name_Hall 'P 1'
loop_
_atom_site_label
_atom_site_fract_x
_atom_site_fract_y
_atom_site_fract_z
Ho1 0.1324 0.1324 0.1324
Ho2 0.8676 0.8676 0.8676
Cu1 0.3113 0.3113 0.3113
Cu2 0.4139 0.4139 0.4139
Cu3 0.5861 0.5861 0.5861
Cu4 0.6887 0.6887 0.6887
S1 0.2348 0.2348 0.2348
S2 0.3663 0.3663 0.3663
S3 0.5000 0.5000 0.5000
S4 0.6337 0.6337 0.6337
S5 0.7652 0.7652 0.7652
# - Energy relative to the elements, uncorrected: -0.91 eV/atom
# - Spin magnetization: 0.000 μB/f.u.
# - Density of states at the Fermi level: 3.81 states/eV/cell
# - Symmetry: R-3m (166)